## Li2Os2Pt (PBE)

Data for an optimized crystal structure of Li2Os2Pt.

Results
total magnetic moment = 0.01 μB/f.u.
space group = No. 71
VASP energy = -30.93 eV per cell

Lattice parameters (Å, degrees): 7.0626 7.0626 7.0626 158.91 144.98 41.24
Closest atoms and distances in Å follow each position.
Sites, in units of the cell vectors:
Li1 0.1971 0.1971 0.0000  6 Li 2.58-2.85, 1 Pt 2.61, 5 Os 2.76-2.83
Li2 0.8029 0.8029 0.0000  6 Li 2.58-2.85, 1 Pt 2.61, 5 Os 2.76-2.83
Os1 0.4057 0.4057 0.0000  3 Os 2.49-2.58, 1 Li 2.76, 4 Pt 2.78
Os2 0.5943 0.5943 0.0000  3 Os 2.49-2.58, 1 Li 2.76, 4 Pt 2.78
Pt1 0.0000 0.0000 0.0000  2 Pt 2.58, 2 Li 2.61, 8 Os 2.78

***

## SrNb2 (PBE)

Data for an optimized crystal structure of SrNb2.

Results
total magnetic moment = 10.04 μB/f.u.
space group = No. 227
VASP energy = -19.28 eV per cell
E above lowest polymorph = 3357 meV/atom

Lattice parameters (Å, degrees): 10.5820 10.5820 10.5820 60.00 60.00 60.00
Closest atoms and distances in Å follow each position.
Sites, in units of the cell vectors:
Nb1 0.3750 0.3750 0.3750  2 Sr 3.24
Nb2 0.8750 0.3750 0.3750  2 Sr 3.24
Nb3 0.3750 0.8750 0.3750  2 Sr 3.24
Nb4 0.3750 0.3750 0.8750  2 Sr 3.24
Sr1 0.2500 0.2500 0.2500  4 Nb 3.24
Sr2 0.5000 0.5000 0.5000  4 Nb 3.24